# 1
A plane-wave DFT calculation with SCAN was carried out for Y2HgPRh at its PBEsol-relaxed geometry.

## Properties
The value obtained for the formation energy from the elements is 616 meV per atom. Its total energy is -164.94 eV/cell. The crystal system is tetragonal.

a = 5.4975 Å, b = 5.4975 Å, c = 4.5323 Å
α = 90.00°, β = 90.00°, γ = 90.00°
Last column: nearest neighbours and their distance in Å.
Fractional positions:
Y 0.0000 0.5000 0.0000  2 Hg 2.75
Y 0.5000 0.0000 0.0000  2 Hg 2.75
Hg 0.0000 0.0000 0.0000  2 P 2.27
P 0.0000 0.0000 0.5000  2 Hg 2.27
Rh 0.5000 0.5000 0.5000  8 Y 3.56, 4 P 3.89

# 2
A plane-wave DFT calculation with SCAN was carried out for Hg2PRu at its PBEsol-relaxed geometry.

## Properties
The value obtained for the formation energy from the elements is 741 meV per atom. Its total energy is -178.59 eV/cell. The crystal system is tetragonal.

a = 3.8813 Å, b = 3.8813 Å, c = 4.5328 Å
α = 90.00°, β = 90.00°, γ = 90.00°
Last column: nearest neighbours and their distance in Å.
Fractional positions:
Hg 0.0000 0.5000 0.0000  4 Hg 2.74, 4 Ru 2.98, 4 P 2.98
Hg 0.5000 0.0000 0.0000  4 Hg 2.74, 4 Ru 2.98, 4 P 2.98
P 0.0000 0.0000 0.5000  4 Ru 2.74, 8 Hg 2.98
Ru 0.5000 0.5000 0.5000  4 P 2.74, 8 Hg 2.98